Entry 1:
Density functional theory data (GGA-PBE) for a geometry-optimized ZrTe2P structure.

Cell: 3.613 4.652 5.482 Å, 90.00 90.00 90.00°
Positions (direct):
Zr1 0.000 0.000 0.000
Te1 0.000 0.500 0.500
Te2 0.500 0.500 0.000
P1 0.500 0.000 0.500

raw total energy = -20.002 eV/f.u.
symmetry = Pmmm
density = 6.802 g/cm3
ΔE_f (raw) = 0.060 eV per atom
crystal system = orthorhombic

Entry 2:
Density functional theory data (GGA-PBE) for a geometry-optimized LaPrSm2Hg4 structure.

Cell: 9.417 9.417 9.417 Å, 33.54 33.54 33.54°
Positions (direct):
La1 0.000 0.000 0.000
Pr1 0.500 0.500 0.500
Sm1 0.250 0.250 0.250
Sm2 0.750 0.750 0.750
Hg1 0.125 0.125 0.125
Hg2 0.375 0.375 0.375
Hg3 0.625 0.625 0.625
Hg4 0.875 0.875 0.875

raw total energy = -24.157 eV/f.u.
symmetry = R-3m
density = 10.114 g/cm3
energy relative to the elements = -0.48 eV/atom
crystal system = trigonal